## SmYTe2 (PBE-GGA)

Data for a relaxed SmYTe2 crystal.

Geometry as POSCAR:
```
SmYTe2
1.0
7.640 0.000 0.000
0.000 7.640 0.000
0.000 0.000 7.640
Sm Y Te
4 4 8
Cartesian
0.000 0.000 0.000 Sm
0.000 3.820 3.820 Sm
3.820 0.000 3.820 Sm
3.820 3.820 0.000 Sm
0.000 0.000 3.820 Y
0.000 3.820 0.000 Y
3.820 0.000 0.000 Y
3.820 3.820 3.820 Y
1.910 1.910 1.910 Te
1.910 1.910 5.730 Te
1.910 5.730 1.910 Te
1.910 5.730 5.730 Te
5.730 1.910 1.910 Te
5.730 1.910 5.730 Te
5.730 5.730 1.910 Te
5.730 5.730 5.730 Te
```

Properties
Uncorrected energy   -22.37 eV per formula unit
Total magnetization   4.8 μB per cell
Uncorrected formation energy   -1226 meV per atom
SG   Fm-3m



## Cs2TaPtF (PBE-GGA)

Data for a relaxed Cs2TaPtF crystal.

Geometry as POSCAR:
```
Cs2TaPtF
1.0
5.009 0.000 0.000
0.000 5.009 0.000
0.000 0.000 6.812
Cs Ta Pt F
2 1 1 1
Cartesian
0.000 2.505 0.000 Cs
2.505 0.000 0.000 Cs
0.000 0.000 3.406 Ta
2.505 2.505 3.406 Pt
2.505 2.505 0.000 F
```

Properties
Uncorrected energy   -18.32 eV per formula unit
Total magnetization   2.8 μB per cell
Uncorrected formation energy   631 meV per atom
SG   P4/mmm



## Cr2AgRh (PBE-GGA)

Data for a relaxed Cr2AgRh crystal.

Geometry as POSCAR:
```
Cr2AgRh
1.0
4.526 0.000 0.000
0.000 4.526 0.000
0.000 0.000 3.004
Cr Ag Rh
2 1 1
Cartesian
0.000 2.263 0.000 Cr
2.263 0.000 0.000 Cr
0.000 0.000 1.502 Ag
2.263 2.263 1.502 Rh
```

Properties
Uncorrected energy   -27.81 eV per formula unit
Formation enthalpy at 0 K   411 meV per atom
Total magnetization   7.2 μB per cell
SG   P4/mmm



## CaCuSe2Cl (PBE-GGA)

Data for a relaxed CaCuSe2Cl crystal.

Geometry as POSCAR:
```
CaCuSe2Cl
1.0
4.578 0.000 0.000
0.000 4.578 0.000
0.000 0.000 6.134
Ca Cu Se Cl
1 1 2 1
Cartesian
0.000 0.000 0.000 Ca
0.000 0.000 3.067 Cu
0.000 2.289 3.067 Se
2.289 0.000 3.067 Se
2.289 2.289 0.000 Cl
```

Properties
Uncorrected energy   -17.95 eV per formula unit
Total magnetization   0.0 μB per cell
Uncorrected formation energy   -608 meV per atom
SG   P4/mmm



## DyTcH4 (PBE-GGA)

Data for a relaxed DyTcH4 crystal.

Geometry as POSCAR:
```
DyTcH4
1.0
8.787 0.000 0.000
0.000 2.991 2.125
0.000 -2.991 2.125
Dy Tc H
2 2 8
Cartesian
0.000 0.000 0.000 Dy
4.394 0.000 0.000 Dy
2.197 0.886 2.125 Tc
6.590 -0.886 2.125 Tc
0.457 0.848 2.125 H
2.197 -0.569 1.008 H
2.197 -0.562 3.251 H
3.937 0.848 2.125 H
4.850 -0.848 2.125 H
6.590 0.569 1.008 H
6.590 0.562 3.251 H
8.330 -0.848 2.125 H
```

Properties
Uncorrected energy   -30.16 eV per formula unit
Total magnetization   0.0 μB per cell
SG   Ama2



## KHg4As (PBE-GGA)

Data for a relaxed KHg4As crystal.

Geometry as POSCAR:
```
KHg4As
1.0
0.000 4.368 4.368
4.368 0.000 4.368
4.368 4.368 0.000
K Hg As
1 4 1
Cartesian
0.000 0.000 0.000 K
3.281 3.281 3.281 Hg
5.455 5.455 3.281 Hg
5.455 3.281 5.455 Hg
3.281 5.455 5.455 Hg
6.552 6.552 6.552 As
```

Properties
Uncorrected energy   -6.49 eV per formula unit
Formation enthalpy at 0 K   78 meV per atom
Total magnetization   0.7 μB per cell
SG   F-43m



## TlPIr2 (PBE-GGA)

Data for a relaxed TlPIr2 crystal.

Geometry as POSCAR:
```
TlPIr2
1.0
6.405 0.000 0.000
0.000 3.698 0.000
-1.584 0.000 6.180
Tl P Ir
2 2 4
Cartesian
0.000 0.000 0.000 Tl
3.202 1.849 0.000 Tl
-0.792 1.849 3.090 P
2.410 0.000 3.090 P
0.268 0.000 4.060 Ir
1.350 1.849 2.119 Ir
3.470 1.849 4.060 Ir
4.553 0.000 2.119 Ir
```

Properties
Uncorrected energy   -25.28 eV per formula unit
Formation enthalpy at 0 K   54 meV per atom
Total magnetization   0.0 μB per cell
SG   C2/m



## CaLa2YPd (PBE-GGA)

Data for a relaxed CaLa2YPd crystal.

Geometry as POSCAR:
```
CaLa2YPd
1.0
5.714 0.000 0.000
0.000 5.714 0.000
0.000 0.000 5.723
Ca La Y Pd
1 2 1 1
Cartesian
0.000 0.000 0.000 Ca
0.000 2.857 2.862 La
2.857 0.000 2.862 La
2.857 2.857 0.000 Y
2.857 2.857 2.862 Pd
```

Properties
Uncorrected energy   -24.37 eV per formula unit
Formation enthalpy at 0 K   -172 meV per atom
Total magnetization   0.0 μB per cell
SG   P4/mmm



## SrSn2Sb2 (PBE-GGA)

Data for a relaxed SrSn2Sb2 crystal.

Geometry as POSCAR:
```
SrSn2Sb2
1.0
8.450 0.000 0.000
0.000 8.450 0.000
0.000 0.000 4.324
Sr Sn Sb
2 4 4
Cartesian
0.000 0.000 0.000 Sr
4.225 4.225 0.000 Sr
1.347 2.878 2.162 Sn
2.878 7.103 2.162 Sn
5.572 1.347 2.162 Sn
7.103 5.572 2.162 Sn
1.135 5.360 0.000 Sb
3.090 1.135 0.000 Sb
5.360 7.314 0.000 Sb
7.314 3.090 0.000 Sb
```

Properties
Uncorrected energy   -19.05 eV per formula unit
Total magnetization   0.0 μB per cell
Uncorrected formation energy   -223 meV per atom
SG   P4/mbm



## LiCaY2Sc (PBE-GGA)

Data for a relaxed LiCaY2Sc crystal.

Geometry as POSCAR:
```
LiCaY2Sc
1.0
5.457 0.000 0.000
0.000 5.457 0.000
0.000 0.000 5.306
Li Ca Y Sc
1 1 2 1
Cartesian
0.000 0.000 0.000 Li
2.729 2.729 2.653 Ca
0.000 2.729 0.000 Y
2.729 0.000 0.000 Y
0.000 0.000 2.653 Sc
```

Properties
Uncorrected energy   -20.97 eV per formula unit
Formation enthalpy at 0 K   441 meV per atom
Total magnetization   1.8 μB per cell
SG   P4/mmm



## Cs2ThS3 (PBE-GGA)

Data for a relaxed Cs2ThS3 crystal.

Geometry as POSCAR:
```
Cs2ThS3
1.0
0.000 6.466 13.140
4.841 0.000 13.140
4.841 6.466 0.000
Cs Th S
8 4 12
Cartesian
1.210 1.616 1.323 Cs
3.630 4.849 3.087 Cs
1.210 1.616 5.248 Cs
6.051 8.082 9.658 Cs
3.630 4.849 16.623 Cs
8.471 11.315 21.033 Cs
6.051 8.082 23.194 Cs
8.471 11.315 24.958 Cs
3.630 4.849 7.626 Th
3.630 4.849 12.085 Th
6.051 8.082 14.196 Th
6.051 8.082 18.655 Th
3.880 2.001 7.308 S
5.354 4.849 9.855 S
3.381 2.001 12.402 S
5.801 5.234 13.879 S
7.775 8.082 16.426 S
6.300 5.234 18.973 S
3.381 7.698 7.308 S
1.906 4.849 9.855 S
3.880 7.698 12.402 S
6.300 10.931 13.879 S
4.327 8.082 16.426 S
5.801 10.931 18.973 S
```

Properties
Uncorrected energy   -31.36 eV per formula unit
Total magnetization   0.0 μB per cell
Uncorrected formation energy   -1642 meV per atom
SG   Fddd



## LaAl2Pt (PBE-GGA)

Data for a relaxed LaAl2Pt crystal.

Geometry as POSCAR:
```
LaAl2Pt
1.0
3.533 0.000 0.000
0.000 4.262 0.000
-1.754 0.000 5.945
La Al Pt
1 2 1
Cartesian
0.000 0.000 0.000 La
0.005 2.131 3.484 Al
1.771 0.000 2.820 Al
1.769 2.131 1.491 Pt
```

Properties
Uncorrected energy   -20.79 eV per formula unit
Formation enthalpy at 0 K   -583 meV per atom
Total magnetization   0.0 μB per cell
SG   Pm



## P2Ru2SeN (PBE-GGA)

Data for a relaxed P2Ru2SeN crystal.

Geometry as POSCAR:
```
P2Ru2SeN
1.0
3.580 0.000 0.000
-0.786 4.713 0.000
-0.968 -1.852 5.497
P Ru Se N
2 2 1 1
Cartesian
0.000 0.000 0.000 P
0.055 1.262 3.483 P
0.960 3.351 0.265 Ru
1.876 1.030 2.055 Ru
1.201 3.358 2.916 Se
0.118 1.483 0.649 N
```

Properties
Uncorrected energy   -41.12 eV per formula unit
Total magnetization   0.0 μB per cell
Uncorrected formation energy   10 meV per atom
SG   P1



## CaGa6Ni12 (PBE-GGA)

Data for a relaxed CaGa6Ni12 crystal.

Geometry as POSCAR:
```
CaGa6Ni12
1.0
5.299 3.059 2.689
-5.299 3.059 2.689
0.000 -6.119 2.689
Ca Ga Ni
1 6 12
Cartesian
0.000 0.000 0.000 Ca
0.000 -2.689 3.379 Ga
-2.328 1.344 3.379 Ga
-2.328 -1.344 4.687 Ga
2.329 1.344 3.379 Ga
2.329 -1.344 4.687 Ga
0.000 2.689 4.687 Ga
-2.046 -3.545 4.033 Ni
-4.093 0.000 4.033 Ni
-1.306 -0.754 2.569 Ni
1.306 -0.754 2.569 Ni
0.000 1.509 2.569 Ni
2.046 -3.545 4.033 Ni
-2.046 3.545 4.033 Ni
0.000 -1.509 5.498 Ni
-1.306 0.754 5.498 Ni
1.306 0.754 5.498 Ni
4.093 0.000 4.033 Ni
2.046 3.545 4.033 Ni
```

Properties
Uncorrected energy   -93.26 eV per formula unit
Formation enthalpy at 0 K   -196 meV per atom
Total magnetization   0.0 μB per cell
SG   R-3m



## SiSe (PBE-GGA)

Data for a relaxed SiSe crystal.

Geometry as POSCAR:
```
SiSe
1.0
3.529 0.000 0.000
0.000 15.403 0.000
0.000 0.000 4.024
Si Se
4 4
Cartesian
0.000 0.638 0.000 Si
0.000 14.765 2.012 Si
1.764 7.064 2.012 Si
1.764 8.339 0.000 Si
0.000 5.569 2.222 Se
0.000 9.834 0.210 Se
1.764 2.132 0.210 Se
1.764 13.271 2.222 Se
```

Properties
Uncorrected energy   -9.48 eV per formula unit
Total magnetization   0.0 μB per cell
Uncorrected formation energy   -286 meV per atom
SG   Cmc2_1



## SiNi2Br (PBE-GGA)

Data for a relaxed SiNi2Br crystal.

Geometry as POSCAR:
```
SiNi2Br
1.0
3.828 0.000 0.000
0.000 4.973 0.000
0.000 0.000 6.382
Si Ni Br
2 4 2
Cartesian
0.000 0.000 0.000 Si
1.914 2.487 0.000 Si
0.000 2.487 1.233 Ni
0.000 2.487 5.148 Ni
1.914 0.000 1.233 Ni
1.914 0.000 5.148 Ni
0.000 0.000 3.191 Br
1.914 2.487 3.191 Br
```

Properties
Uncorrected energy   -18.20 eV per formula unit
Total magnetization   0.0 μB per cell
Uncorrected formation energy   114 meV per atom
SG   Cmmm



## ReBr (PBE-GGA)

Data for a relaxed ReBr crystal.

Geometry as POSCAR:
```
ReBr
1.0
11.520 0.000 0.000
0.000 11.520 0.000
0.000 0.000 3.552
Re Br
8 8
Cartesian
2.349 2.349 0.000 Re
2.349 9.172 0.000 Re
3.411 3.411 1.776 Re
3.411 8.109 1.776 Re
8.109 3.411 1.776 Re
8.109 8.109 1.776 Re
9.172 2.349 0.000 Re
9.172 9.172 0.000 Re
0.000 3.319 0.000 Br
0.000 8.201 0.000 Br
2.441 5.760 1.776 Br
3.319 0.000 0.000 Br
5.760 2.441 1.776 Br
5.760 9.080 1.776 Br
8.201 0.000 0.000 Br
9.080 5.760 1.776 Br
```

Properties
Uncorrected energy   -13.04 eV per formula unit
Total magnetization   0.0 μB per cell
Uncorrected formation energy   542 meV per atom
SG   I4/mmm



## TlAsBr2 (PBE-GGA)

Data for a relaxed TlAsBr2 crystal.

Geometry as POSCAR:
```
TlAsBr2
1.0
3.711 0.000 0.000
0.000 5.575 0.000
0.000 0.000 5.769
Tl As Br
1 1 2
Cartesian
0.000 0.000 0.000 Tl
1.855 2.788 2.885 As
1.855 0.000 2.885 Br
1.855 2.788 0.000 Br
```

Properties
Uncorrected energy   -11.17 eV per formula unit
Total magnetization   0.0 μB per cell
Uncorrected formation energy   -203 meV per atom
SG   Pmmm



## Y4CdSe2 (PBE-GGA)

Data for a relaxed Y4CdSe2 crystal.

Geometry as POSCAR:
```
Y4CdSe2
1.0
2.049 -6.630 0.000
2.049 6.630 0.000
0.000 0.000 14.026
Y Cd Se
8 2 4
Cartesian
0.000 0.000 0.000 Y
0.000 0.000 7.013 Y
2.049 3.041 8.731 Y
2.049 3.041 12.308 Y
2.049 0.884 3.506 Y
2.049 -0.884 10.519 Y
2.049 -3.041 1.718 Y
2.049 -3.041 5.295 Y
2.049 5.188 3.506 Cd
2.049 -5.188 10.519 Cd
2.049 1.810 0.822 Se
2.049 1.810 6.191 Se
2.049 -1.810 7.835 Se
2.049 -1.810 13.204 Se
```

Properties
Uncorrected energy   -41.53 eV per formula unit
Total magnetization   0.0 μB per cell
Uncorrected formation energy   -1113 meV per atom
SG   Cmcm



## AcNp2MnN5 (PBE-GGA)

Data for a relaxed AcNp2MnN5 crystal.

Geometry as POSCAR:
```
AcNp2MnN5
1.0
-3.295 3.295 5.572
3.295 -3.295 5.572
3.295 3.295 -5.572
Ac Np Mn N
2 4 2 10
Cartesian
0.000 0.000 2.786 Ac
0.000 0.000 8.358 Ac
4.451 1.156 0.000 Np
1.156 2.138 0.000 Np
2.138 1.156 5.572 Np
-1.156 2.138 5.572 Np
3.295 0.000 2.786 Mn
0.000 3.295 2.786 Mn
0.000 0.000 0.000 N
2.355 0.940 -1.504 N
2.355 -0.940 4.068 N
2.355 0.940 1.504 N
2.355 -0.940 7.076 N
0.000 0.000 5.572 N
0.940 4.234 -1.504 N
0.940 2.355 4.068 N
0.940 4.234 1.504 N
0.940 2.355 7.076 N
```

Properties
Uncorrected energy   -89.96 eV per formula unit
Total magnetization   16.2 μB per cell
Uncorrected formation energy   -1019 meV per atom
SG   I4/mcm